# 1
CuMoS2Cl | PBE | relaxed

a b c (Å): 4.6481 4.6481 4.3981
angles (deg): 90.00 90.00 90.00
Positions (direct):
Cu (0.0000, 0.0000, 0.0000)
Mo (0.5000, 0.5000, 0.5000)
S (0.0000, 0.5000, 0.0000)
S (0.5000, 0.0000, 0.0000)
Cl (0.0000, 0.0000, 0.5000)

**Uncorrected energy**: -4.33 eV/atom
**Energy above the most stable polymorph in this dataset**: 442 meV/atom
**DOS at the Fermi energy**: 3.4 states/eV/cell
**Crystal system**: tetragonal

---

# 2
SrLi2Si | PBE | relaxed

a b c (Å): 4.5018 4.5018 4.8244
angles (deg): 90.00 90.00 90.00
Positions (direct):
Sr (0.0000, 0.0000, 0.0000)
Li (0.0000, 0.5000, 0.5000)
Li (0.5000, 0.0000, 0.5000)
Si (0.5000, 0.5000, 0.0000)

**Uncorrected energy**: -2.70 eV/atom
**DOS at the Fermi energy**: 3.0 states/eV/cell
**Crystal system**: tetragonal

---

# 3
Li3Np2FeS6 | PBE | relaxed

a b c (Å): 6.3446 6.3446 6.5752
angles (deg): 99.23 99.23 120.03
Positions (direct):
Li (0.0000, 0.0000, 0.0000)
Li (0.3370, 0.6630, 0.0000)
Li (0.6630, 0.3370, 0.0000)
Np (0.1677, 0.8323, 0.5000)
Np (0.8323, 0.1677, 0.5000)
Fe (0.5000, 0.5000, 0.5000)
S (0.1162, 0.4179, 0.2551)
S (0.2775, 0.2775, 0.7381)
S (0.4179, 0.1162, 0.2551)
S (0.5821, 0.8838, 0.7449)
S (0.7225, 0.7225, 0.2619)
S (0.8838, 0.5821, 0.7449)

**Uncorrected energy**: -6.51 eV/atom
**DOS at the Fermi energy**: 16.6 states/eV/cell
**Crystal system**: monoclinic

---

# 4
Nd8ZnRh3I4 | PBE | relaxed

a b c (Å): 9.4624 9.4624 9.4624
angles (deg): 53.16 53.16 53.16
Positions (direct):
Nd (0.2155, 0.7355, 0.7355)
Nd (0.2299, 0.2299, 0.2299)
Nd (0.2645, 0.2645, 0.7845)
Nd (0.2645, 0.7845, 0.2645)
Nd (0.7355, 0.2155, 0.7355)
Nd (0.7355, 0.7355, 0.2155)
Nd (0.7701, 0.7701, 0.7701)
Nd (0.7845, 0.2645, 0.2645)
Zn (0.5000, 0.5000, 0.5000)
Rh (0.0000, 0.0000, 0.5000)
Rh (0.0000, 0.5000, 0.0000)
Rh (0.5000, 0.0000, 0.0000)
I (0.0000, 0.0000, 0.0000)
I (0.0000, 0.5000, 0.5000)
I (0.5000, 0.0000, 0.5000)
I (0.5000, 0.5000, 0.0000)

**Uncorrected energy**: -5.06 eV/atom
**DOS at the Fermi energy**: 11.7 states/eV/cell
**Crystal system**: trigonal

---

# 5
Rb2TeO6 | PBE | relaxed

a b c (Å): 6.8098 6.8098 3.8034
angles (deg): 91.99 91.99 60.68
Positions (direct):
Rb (0.1660, 0.1660, 0.1432)
Rb (0.8340, 0.8340, 0.8568)
Te (0.5000, 0.5000, 0.5000)
O (0.1936, 0.5793, 0.3576)
O (0.3139, 0.6861, 0.0000)
O (0.4207, 0.8064, 0.6424)
O (0.5793, 0.1936, 0.3576)
O (0.6861, 0.3139, 0.0000)
O (0.8064, 0.4207, 0.6424)

**Uncorrected energy**: -4.48 eV/atom
**Crystal system**: monoclinic

---

# 6
Ba2MgW | PBE | relaxed

a b c (Å): 5.8108 5.8108 4.1139
angles (deg): 90.00 90.00 90.00
Positions (direct):
Ba (0.0000, 0.5000, 0.0000)
Ba (0.5000, 0.0000, 0.0000)
Mg (0.0000, 0.0000, 0.5000)
W (0.5000, 0.5000, 0.5000)

**DFT formation energy**: 1.047 eV per atom
**Uncorrected energy**: -3.55 eV/atom
**DOS at the Fermi energy**: 3.8 states/eV/cell
**Crystal system**: tetragonal

---

# 7
FeCoPt2 | PBE | relaxed

a b c (Å): 4.6224 4.6224 2.7216
angles (deg): 90.00 90.00 108.05
Positions (direct):
Fe (0.0000, 0.0000, 0.0000)
Co (0.5000, 0.5000, 0.0000)
Pt (0.0000, 0.5000, 0.5000)
Pt (0.5000, 0.0000, 0.5000)

**DFT formation energy**: -0.178 eV per atom
**Uncorrected energy**: -7.09 eV/atom
**DOS at the Fermi energy**: 3.9 states/eV/cell
**Crystal system**: orthorhombic

---

# 8
CaNb2Pt2 | PBE | relaxed

a b c (Å): 6.6727 6.6727 6.6727
angles (deg): 143.33 143.33 52.83
Positions (direct):
Ca (0.0000, 0.0000, 0.0000)
Nb (0.2500, 0.7500, 0.5000)
Nb (0.7500, 0.2500, 0.5000)
Pt (0.3913, 0.3913, 0.0000)
Pt (0.6087, 0.6087, 0.0000)

**DFT formation energy**: -0.417 eV per atom
**Uncorrected energy**: -7.26 eV/atom
**Energy above the most stable polymorph in this dataset**: 31 meV/atom
**DOS at the Fermi energy**: 4.8 states/eV/cell
**Crystal system**: tetragonal

---

# 9
La2TaW | PBE | relaxed

a b c (Å): 3.1269 3.1269 10.9216
angles (deg): 90.00 90.00 114.08
Positions (direct):
La (0.0000, 0.0000, 0.0000)
La (0.5000, 0.5000, 0.3339)
Ta (0.0000, 0.0000, 0.5875)
W (0.5000, 0.5000, 0.7681)

**DFT formation energy**: 0.450 eV per atom
**Uncorrected energy**: -8.22 eV/atom
**Energy above the most stable polymorph in this dataset**: 137 meV/atom
**DOS at the Fermi energy**: 5.7 states/eV/cell
**Crystal system**: orthorhombic

---

# 10
NdThIr2 | PBE | relaxed

a b c (Å): 7.2053 7.2053 7.2053
angles (deg): 33.18 33.18 33.18
Positions (direct):
Nd (0.0000, 0.0000, 0.0000)
Th (0.5000, 0.5000, 0.5000)
Ir (0.2468, 0.2468, 0.2468)
Ir (0.7532, 0.7532, 0.7532)

**DFT formation energy**: -0.689 eV per atom
**Uncorrected energy**: -8.17 eV/atom
**Energy above the most stable polymorph in this dataset**: 130 meV/atom
**DOS at the Fermi energy**: 2.0 states/eV/cell
**Crystal system**: trigonal

---

# 11
Hf2AgN | PBE | relaxed

a b c (Å): 3.2866 4.8672 9.1661
angles (deg): 90.00 100.20 90.00
Positions (direct):
Hf (0.1043, 0.0000, 0.2077)
Hf (0.2946, 0.0059, 0.5899)
Hf (0.7054, 0.5059, 0.4101)
Hf (0.8957, 0.5000, 0.7923)
Ag (0.4589, 0.9911, 0.9175)
Ag (0.5411, 0.4911, 0.0825)
N (0.1984, 0.7703, 0.3959)
N (0.8016, 0.2703, 0.6041)

**Uncorrected energy**: -8.47 eV/atom
**DOS at the Fermi energy**: 6.3 states/eV/cell
**Crystal system**: monoclinic

---

# 12
K5Rb2NaHg2 | PBE | relaxed

a b c (Å): 14.7546 14.7546 5.1353
angles (deg): 90.00 90.00 90.00
Positions (direct):
K (0.0000, 0.5000, 0.0000)
K (0.0676, 0.2088, 0.0000)
K (0.2088, 0.9324, 0.0000)
K (0.2912, 0.4324, 0.0000)
K (0.4324, 0.7088, 0.0000)
K (0.5000, 0.0000, 0.0000)
K (0.5676, 0.2912, 0.0000)
K (0.7088, 0.5676, 0.0000)
K (0.7912, 0.0676, 0.0000)
K (0.9324, 0.7912, 0.0000)
Rb (0.1744, 0.6744, 0.5000)
Rb (0.3256, 0.1744, 0.5000)
Rb (0.6744, 0.8256, 0.5000)
Rb (0.8256, 0.3256, 0.5000)
Na (0.0000, 0.0000, 0.5000)
Na (0.5000, 0.5000, 0.5000)
Hg (0.1272, 0.3728, 0.5000)
Hg (0.3728, 0.8728, 0.5000)
Hg (0.6272, 0.1272, 0.5000)
Hg (0.8728, 0.6272, 0.5000)

**DFT formation energy**: -0.089 eV per atom
**Uncorrected energy**: -1.02 eV/atom
**DOS at the Fermi energy**: 14.8 states/eV/cell
**Crystal system**: tetragonal

---

# 13
Sc2TcAs | PBE | relaxed

a b c (Å): 3.4395 3.4395 5.9980
angles (deg): 90.00 90.00 90.00
Positions (direct):
Sc (0.0000, 0.0000, 0.2464)
Sc (0.0000, 0.0000, 0.7536)
Tc (0.5000, 0.5000, 0.0000)
As (0.5000, 0.5000, 0.5000)

**DFT formation energy**: -0.659 eV per atom
**Uncorrected energy**: -7.58 eV/atom
**DOS at the Fermi energy**: 2.4 states/eV/cell
**Crystal system**: tetragonal

---

# 14
AlPbSN2 | PBE | relaxed

a b c (Å): 3.9835 3.9835 5.2153
angles (deg): 90.00 90.00 90.00
Positions (direct):
Al (0.0000, 0.0000, 0.0000)
Pb (0.5000, 0.5000, 0.5000)
S (0.0000, 0.0000, 0.5000)
N (0.0000, 0.5000, 0.0000)
N (0.5000, 0.0000, 0.0000)

**Uncorrected energy**: -5.15 eV/atom
**DOS at the Fermi energy**: 2.6 states/eV/cell
**Crystal system**: tetragonal

---

# 15
In2ReW | PBE | relaxed

a b c (Å): 3.1062 3.1062 8.2713
angles (deg): 90.00 90.00 90.00
Positions (direct):
In (0.0000, 0.0000, 0.0000)
In (0.5000, 0.5000, 0.3375)
Re (0.0000, 0.0000, 0.5796)
W (0.5000, 0.5000, 0.7499)

**DFT formation energy**: 0.326 eV per atom
**Uncorrected energy**: -7.39 eV/atom
**Energy above the most stable polymorph in this dataset**: 63 meV/atom
**DOS at the Fermi energy**: 3.3 states/eV/cell
**Crystal system**: tetragonal

---

# 16
Tb3Sc4Se8 | PBE | relaxed

a b c (Å): 7.9454 7.9454 7.9118
angles (deg): 119.85 119.85 90.03
Positions (direct):
Tb (0.0000, 0.0000, 0.0000)
Tb (0.0000, 0.5000, 0.5000)
Tb (0.5000, 0.0000, 0.5000)
Sc (0.0000, 0.5000, 0.0000)
Sc (0.5000, 0.0000, 0.0000)
Sc (0.5000, 0.5000, 0.0000)
Sc (0.5000, 0.5000, 0.5000)
Se (0.2519, 0.7481, 0.5000)
Se (0.2555, 0.7445, 0.0000)
Se (0.2570, 0.2570, 0.0032)
Se (0.2571, 0.2571, 0.5109)
Se (0.7429, 0.7429, 0.4891)
Se (0.7430, 0.7430, 0.9968)
Se (0.7445, 0.2555, 0.0000)
Se (0.7481, 0.2519, 0.5000)

**Uncorrected energy**: -6.20 eV/atom
**DOS at the Fermi energy**: 7.4 states/eV/cell
**Crystal system**: monoclinic

---

# 17
DyIn3Pd12 | PBE | relaxed

a b c (Å): 4.0611 4.0611 16.2432
angles (deg): 90.00 90.00 90.00
Positions (direct):
Dy (0.0000, 0.0000, 0.0000)
In (0.0000, 0.0000, 0.2544)
In (0.0000, 0.0000, 0.5000)
In (0.0000, 0.0000, 0.7456)
Pd (0.0000, 0.5000, 0.1293)
Pd (0.0000, 0.5000, 0.3766)
Pd (0.0000, 0.5000, 0.6234)
Pd (0.0000, 0.5000, 0.8707)
Pd (0.5000, 0.0000, 0.1293)
Pd (0.5000, 0.0000, 0.3766)
Pd (0.5000, 0.0000, 0.6234)
Pd (0.5000, 0.0000, 0.8707)
Pd (0.5000, 0.5000, 0.0000)
Pd (0.5000, 0.5000, 0.2518)
Pd (0.5000, 0.5000, 0.5000)
Pd (0.5000, 0.5000, 0.7482)

**DFT formation energy**: -0.542 eV per atom
**Uncorrected energy**: -5.24 eV/atom
**DOS at the Fermi energy**: 15.5 states/eV/cell
**Crystal system**: tetragonal

---

# 18
DyY2Ir | PBE | relaxed

a b c (Å): 10.7310 10.7310 10.7310
angles (deg): 19.99 19.99 19.99
Positions (direct):
Dy (0.0000, 0.0000, 0.0000)
Y (0.1123, 0.1123, 0.1123)
Y (0.8877, 0.8877, 0.8877)
Ir (0.5000, 0.5000, 0.5000)

**DFT formation energy**: -0.087 eV per atom
**Uncorrected energy**: -6.69 eV/atom
**Energy above the most stable polymorph in this dataset**: 483 meV/atom
**DOS at the Fermi energy**: 5.5 states/eV/cell
**Crystal system**: trigonal

---

# 19
Dy3Ga4Ni8 | PBE | relaxed

a b c (Å): 8.6039 8.6039 8.6039
angles (deg): 60.00 60.00 60.00
Positions (direct):
Dy (0.2306, 0.2306, 0.7694)
Dy (0.2306, 0.7694, 0.2306)
Dy (0.2306, 0.7694, 0.7694)
Dy (0.7694, 0.2306, 0.2306)
Dy (0.7694, 0.2306, 0.7694)
Dy (0.7694, 0.7694, 0.2306)
Ga (0.0000, 0.0000, 0.0000)
Ga (0.0000, 0.0000, 0.5000)
Ga (0.0000, 0.5000, 0.0000)
Ga (0.0000, 0.5000, 0.5000)
Ga (0.5000, 0.0000, 0.0000)
Ga (0.5000, 0.0000, 0.5000)
Ga (0.5000, 0.5000, 0.0000)
Ga (0.5000, 0.5000, 0.5000)
Ni (0.1221, 0.6260, 0.6260)
Ni (0.1742, 0.1742, 0.1742)
Ni (0.1742, 0.1742, 0.4775)
Ni (0.1742, 0.4775, 0.1742)
Ni (0.3740, 0.3740, 0.3740)
Ni (0.3740, 0.3740, 0.8779)
Ni (0.3740, 0.8779, 0.3740)
Ni (0.4775, 0.1742, 0.1742)
Ni (0.5225, 0.8258, 0.8258)
Ni (0.6260, 0.1221, 0.6260)
Ni (0.6260, 0.6260, 0.1221)
Ni (0.6260, 0.6260, 0.6260)
Ni (0.8258, 0.5225, 0.8258)
Ni (0.8258, 0.8258, 0.5225)
Ni (0.8258, 0.8258, 0.8258)
Ni (0.8779, 0.3740, 0.3740)

**DFT formation energy**: -0.506 eV per atom
**Uncorrected energy**: -5.32 eV/atom
**DOS at the Fermi energy**: 14.5 states/eV/cell
**Crystal system**: cubic

---

# 20
Mn3InP | PBE | relaxed

a b c (Å): 4.3717 4.3717 4.3717
angles (deg): 90.00 90.00 90.00
Positions (direct):
Mn (0.0000, 0.0000, 0.5000)
Mn (0.0000, 0.5000, 0.0000)
Mn (0.5000, 0.0000, 0.0000)
In (0.5000, 0.5000, 0.5000)
P (0.0000, 0.0000, 0.0000)

**DFT formation energy**: 0.133 eV per atom
**Uncorrected energy**: -7.00 eV/atom
**Energy above the most stable polymorph in this dataset**: 0 meV/atom
**DOS at the Fermi energy**: 2.1 states/eV/cell
**Crystal system**: cubic

---

# 21
CeTmAlPb | PBE | relaxed

a b c (Å): 5.3175 5.3175 5.3175
angles (deg): 60.00 60.00 60.00
Positions (direct):
Ce (0.0000, 0.0000, 0.0000)
Tm (0.5000, 0.5000, 0.5000)
Al (0.2500, 0.2500, 0.2500)
Pb (0.7500, 0.7500, 0.7500)

**DFT formation energy**: -0.281 eV per atom
**Uncorrected energy**: -4.74 eV/atom
**DOS at the Fermi energy**: 7.7 states/eV/cell
**Crystal system**: cubic

---

# 22
Na3OsF | PBE | relaxed

a b c (Å): 4.6072 4.6072 4.6072
angles (deg): 90.00 90.00 90.00
Positions (direct):
Na (0.0000, 0.0000, 0.5000)
Na (0.0000, 0.5000, 0.0000)
Na (0.5000, 0.0000, 0.0000)
Os (0.5000, 0.5000, 0.5000)
F (0.0000, 0.0000, 0.0000)

**Uncorrected energy**: -3.45 eV/atom
**Energy above the most stable polymorph in this dataset**: 0 meV/atom
**DOS at the Fermi energy**: 8.6 states/eV/cell
**Crystal system**: cubic

---

# 23
LiZnCr2 | PBE | relaxed

a b c (Å): 5.3141 5.3141 5.3141
angles (deg): 100.89 100.89 128.46
Positions (direct):
Li (0.0000, 0.0000, 0.0000)
Li (0.7500, 0.2500, 0.5000)
Zn (0.2500, 0.7500, 0.5000)
Zn (0.5000, 0.5000, 0.0000)
Cr (0.1222, 0.1250, 0.4972)
Cr (0.3750, 0.8778, 0.0028)
Cr (0.6278, 0.6250, 0.5028)
Cr (0.8750, 0.3722, 0.9972)

**DFT formation energy**: 0.838 eV per atom
**Uncorrected energy**: -4.77 eV/atom
**Energy above the most stable polymorph in this dataset**: 664 meV/atom
**DOS at the Fermi energy**: 8.1 states/eV/cell
**Crystal system**: tetragonal

---

# 24
LiNd2Te3 | PBE | relaxed

a b c (Å): 7.6900 7.6900 7.6900
angles (deg): 146.61 131.38 60.27
Positions (direct):
Li (0.0000, 0.0000, 0.0000)
Nd (0.3308, 0.3308, 0.0000)
Nd (0.6692, 0.6692, 0.0000)
Te (0.1559, 0.6559, 0.5000)
Te (0.5000, 0.0000, 0.5000)
Te (0.8441, 0.3441, 0.5000)

**Uncorrected energy**: -4.83 eV/atom
**DOS at the Fermi energy**: 2.2 states/eV/cell
**Crystal system**: orthorhombic